Here is CaGaSn at its PBEsol-relaxed geometry from the Alexandria database. Energies are from SCAN.

Values from the calculation:
Formation enthalpy at 0 K ... -0.60 eV per atom
Crystal system ... hexagonal

Cell: 4.4540 4.4540 17.2431 Å, 90.00 90.00 120.00°
Last column: nearest neighbours and their distance in Å.
Sites, in units of the cell vectors:
Ca 0.0000 0.0000 0.0000  6 Sn 3.23
Ca 0.0000 0.0000 0.2500  6 Ga 2.95
Ca 0.0000 0.0000 0.5000  6 Sn 3.23
Ca 0.0000 0.0000 0.7500  6 Ga 2.95
Sn 0.3333 0.6667 0.6135  3 Ga 2.72
Sn 0.6667 0.3333 0.1135  3 Ga 2.72
Sn 0.6667 0.3333 0.3865  3 Ga 2.72
Sn 0.3333 0.6667 0.8865  3 Ga 2.72
Ga 0.6667 0.3333 0.8343  3 Sn 2.72, 1 Ga 2.91, 3 Ca 2.95
Ga 0.3333 0.6667 0.3343  3 Sn 2.72, 1 Ga 2.91, 3 Ca 2.95
Ga 0.6667 0.3333 0.6657  3 Sn 2.72, 1 Ga 2.91, 3 Ca 2.95
Ga 0.3333 0.6667 0.1657  3 Sn 2.72, 1 Ga 2.91, 3 Ca 2.95